A plane-wave DFT calculation with PBE was carried out for a geometry-optimized Ho2CdAgHg4 structure.

Cell: 5.0264 5.0264 24.7567 Å, 90.00 90.00 120.00°
Closest atoms and distances in Å follow each position.
Space group R-3m (No. 166, hexagonal axes)
One atom of each set of equivalent atoms:
Ho 0.0000 0.0000 0.2500  8 Hg 3.05-3.13
Cd 0.0000 0.0000 0.0000  8 Hg 3.09-3.14
Ag 0.0000 0.0000 0.5000  8 Hg 3.05-3.07
Hg 0.0000 0.0000 0.1267  4 Ho 3.05-3.09, 3 Ag 3.07, 1 Cd 3.14
Hg 0.0000 0.0000 0.3766  1 Ag 3.05, 4 Ho 3.07-3.13, 3 Cd 3.09

Output
The calculation puts the calculated density at 12.44 g cm⁻³. The calculation puts the density of states at the Fermi level at 6.70 states/eV/cell. The value obtained for the formation energy is -0.344 eV per atom.

A plane-wave DFT calculation with PBE was carried out for a geometry-optimized Cd2InAgHg8 structure.

Cell: 6.3629 6.3629 9.1231 Å, 90.00 90.00 120.00°
Closest atoms and distances in Å follow each position.
Space group P-3m1 (No. 164)
One atom of each set of equivalent atoms:
Cd 0.3333 0.6667 0.4271  10 Hg 3.25-3.52
In 0.0000 0.0000 0.0000  6 Hg 3.07
Ag 0.0000 0.0000 0.5000  6 Hg 2.89
Hg 0.1739 0.3477 0.7368  1 Ag 2.89, 2 Hg 3.04, 1 In 3.07
Hg 0.3333 0.6667 0.0705  1 Cd 3.25, 9 Hg 3.52-3.64

Output
The calculation puts the calculated density at 10.65 g cm⁻³. The calculation puts the density of states at the Fermi level at 4.14 states/eV/cell. The value obtained for the formation energy is 0.094 eV per atom.

A plane-wave DFT calculation with PBE was carried out for a geometry-optimized Cd2In2Ag7Hg structure.

Cell: 5.5718 5.5673 16.7254 Å, 90.00 98.95 90.00°
Closest atoms and distances in Å follow each position.
Space group C2/m (No. 12)
One atom of each set of equivalent atoms:
Cd 0.1926 0.0000 0.3764  5 Ag 2.83-3.08, 1 In 3.16
In 0.1295 0.5000 0.2765  5 Ag 2.91-2.96, 3 Cd 3.16-3.24
Ag 0.0000 0.5000 0.0000  4 Hg 2.78-2.79, 8 Ag 3.07-3.08
Ag 0.1851 0.2501 0.8570  6 Ag 2.78-3.08, 2 In 2.95-2.96, 2 Hg 3.07-3.08
Ag 0.2323 0.5000 0.4525  5 Cd 2.83-3.08, 1 In 2.91, 1 Ag 3.15
Hg 0.0000 0.0000 0.0000  12 Ag 2.78-3.08

Output
The calculation puts the calculated density at 9.14 g cm⁻³. The calculation puts the density of states at the Fermi level at 6.43 states/eV/cell. The value obtained for the formation energy is 0.096 eV per atom.

A plane-wave DFT calculation with PBE was carried out for a geometry-optimized CdInAg3Hg structure.

Cell: 19.3639 4.8284 5.4797 Å, 90.00 106.00 90.00°
Closest atoms and distances in Å follow each position.
Space group C2/m (No. 12)
One atom of each set of equivalent atoms:
Cd 0.1218 0.0000 0.2748  7 Ag 2.90-3.20, 2 Hg 2.94, 2 In 3.10-3.25
In 0.2077 0.0000 0.8425  7 Ag 2.90-2.98, 2 Cd 3.10-3.25, 2 In 3.15
Ag 0.0522 0.0000 0.7332  3 Ag 2.79-2.95, 1 Cd 2.90, 1 In 2.90, 2 Hg 2.95
Ag 0.1325 0.5000 0.9549  4 Ag 2.95-3.09, 3 In 2.97-2.98, 2 Hg 2.98-3.19, 2 Cd 3.02
Ag 0.2067 0.5000 0.5313  3 In 2.95-2.97, 4 Ag 3.01-3.09, 3 Cd 3.04-3.20, 1 Hg 3.18
Hg 0.0371 0.5000 0.2984  2 Cd 2.94, 5 Ag 2.95-3.19, 2 Hg 2.95-3.19

Output
The calculation puts the calculated density at 10.13 g cm⁻³. The calculation puts the density of states at the Fermi level at 7.31 states/eV/cell. The value obtained for the formation energy is 0.021 eV per atom.

A plane-wave DFT calculation with PBE was carried out for a geometry-optimized CdIn6AgHg2 structure.

Cell: 5.9954 6.0194 7.3075 Å, 81.30 85.35 80.75°
Closest atoms and distances in Å follow each position.
Space group P1 (No. 1)
One atom of each set of equivalent atoms:
Cd 0.0000 0.0000 0.0000  7 In 3.05-3.30, 1 Hg 3.10
In 0.0424 0.1761 0.5802  2 Hg 3.07-3.14, 1 Cd 3.09, 2 Ag 3.10-3.29, 1 In 3.23
In 0.1969 0.7434 0.3610  1 Ag 2.99, 1 Cd 3.07, 1 Hg 3.08, 4 In 3.16-3.34
In 0.3023 0.6143 0.8096  1 Ag 2.98, 3 Hg 3.03-3.11, 1 Cd 3.13, 2 In 3.24-3.34
In 0.5219 0.0537 0.8700  1 Ag 2.94, 2 Cd 3.05-3.25, 2 Hg 3.09-3.20, 1 In 3.24
In 0.6628 0.9251 0.3594  1 Ag 2.94, 2 Hg 3.08-3.23, 3 In 3.16-3.27, 1 Cd 3.20
In 0.7573 0.4842 0.1373  1 Ag 3.01, 3 Hg 3.05-3.28, 1 In 3.27, 1 Cd 3.30
Ag 0.5367 0.3544 0.5145  7 In 2.94-3.29, 2 Hg 3.09-3.11
Hg 0.2642 0.3043 0.1818  7 In 3.07-3.28, 1 Cd 3.10, 1 Ag 3.11
Hg 0.8167 0.6192 0.7187  6 In 3.03-3.20, 1 Ag 3.09

Output
The calculation puts the calculated density at 8.47 g cm⁻³. The calculation puts the density of states at the Fermi level at 3.41 states/eV/cell. The value obtained for the formation energy is 0.028 eV per atom.

A plane-wave DFT calculation with PBE was carried out for a geometry-optimized CdIn2AgHg6 structure.

Cell: 6.3296 6.3306 8.1481 Å, 90.67 112.76 118.82°
Closest atoms and distances in Å follow each position.
Space group P1 (No. 1)
One atom of each set of equivalent atoms:
Cd 0.0000 0.0000 0.0000  6 Hg 3.06-3.15
In 0.7265 0.0725 0.2741  1 Ag 2.93, 4 Hg 2.97-3.23
In 0.8044 0.4448 0.7404  1 Ag 2.92, 4 Hg 2.95-3.21
Ag 0.0744 0.5814 0.5046  2 In 2.92-2.93, 6 Hg 2.93-3.00
Hg 0.0782 0.5707 0.1452  1 Ag 2.94, 1 In 2.95, 1 Hg 3.14, 1 Cd 3.15
Hg 0.2568 0.0789 0.4177  1 Ag 2.99, 2 In 3.06-3.08, 1 Cd 3.06, 3 Hg 3.29-3.34
Hg 0.2801 0.3389 0.7820  1 Ag 2.98, 1 Cd 3.12, 3 Hg 3.14-3.29, 2 In 3.21-3.29
Hg 0.4300 0.9313 0.8674  1 Ag 2.93, 1 In 2.97, 1 Cd 3.14, 1 Hg 3.15
Hg 0.5600 0.4978 0.2129  1 Ag 2.97, 1 Cd 3.14, 3 Hg 3.14-3.30, 2 In 3.23-3.31
Hg 0.6541 0.8199 0.5832  1 Ag 3.00, 1 Cd 3.06, 2 In 3.06-3.08, 1 Hg 3.30

Output
The calculation puts the calculated density at 10.74 g cm⁻³. The calculation puts the density of states at the Fermi level at 2.76 states/eV/cell. The value obtained for the formation energy is 0.035 eV per atom.

A plane-wave DFT calculation with PBE was carried out for a geometry-optimized CdIn2Ag7Hg2 structure.

Cell: 5.6031 5.5785 16.6243 Å, 90.00 98.34 90.00°
Closest atoms and distances in Å follow each position.
Space group C2/m (No. 12)
One atom of each set of equivalent atoms:
Cd 0.0000 0.0000 0.0000  12 Ag 2.79-3.04
In 0.1280 0.5000 0.2755  5 Ag 2.94-3.00, 3 Hg 3.06-3.23
Ag 0.0000 0.5000 0.0000  4 Cd 2.79-2.80, 8 Ag 3.03-3.04
Ag 0.1901 0.2502 0.8600  6 Ag 2.79-3.04, 2 In 2.95-3.00, 2 Cd 3.03-3.04
Ag 0.2491 0.5000 0.4535  5 Hg 2.86-3.15, 1 In 2.94, 3 Ag 3.01-3.19
Hg 0.2050 0.0000 0.3732  5 Ag 2.86-3.15, 1 In 3.06

Output
The calculation puts the calculated density at 9.68 g cm⁻³. The calculation puts the density of states at the Fermi level at 8.28 states/eV/cell. The value obtained for the formation energy is 0.079 eV per atom.

A plane-wave DFT calculation with PBE was carried out for a geometry-optimized K2Cd4AgHg3 structure.

Cell: 4.8039 4.8039 12.6990 Å, 90.00 90.00 90.00°
Closest atoms and distances in Å follow each position.
Space group P-4m2 (No. 115)
One atom of each set of equivalent atoms:
K 0.0000 0.5000 0.2457  6 Hg 3.69-3.94, 8 Cd 3.70-4.02, 2 Ag 3.94
Cd 0.0000 0.0000 0.5000  4 Hg 3.00
Cd 0.0000 0.5000 0.8699  3 Hg 2.90-2.92, 2 Ag 2.92
Cd 0.5000 0.5000 0.5000  4 Hg 3.00
Ag 0.5000 0.5000 0.0000  4 Cd 2.92
Hg 0.0000 0.0000 0.0000  4 Cd 2.92
Hg 0.0000 0.5000 0.6417  5 Cd 2.90-3.00

Output
The calculation puts the calculated density at 7.01 g cm⁻³. The calculation puts the density of states at the Fermi level at 3.20 states/eV/cell. The value obtained for the formation energy is -0.110 eV per atom.

A plane-wave DFT calculation with PBE was carried out for a geometry-optimized KCdAgHg2 structure.

Cell: 5.5122 5.5122 5.4270 Å, 90.00 90.00 90.00°
Closest atoms and distances in Å follow each position.
Space group P4/mmm (No. 123)
One atom of each set of equivalent atoms:
K 0.0000 0.0000 0.0000  8 Hg 3.87, 4 Cd 3.90
Cd 0.5000 0.5000 0.0000  2 Ag 2.71
Ag 0.5000 0.5000 0.5000  2 Cd 2.71, 4 Hg 2.76
Hg 0.0000 0.5000 0.5000  2 Ag 2.76

Output
The calculation puts the calculated density at 6.65 g cm⁻³. The polymorph energy (0 for the lowest one) comes out at 0 meV/atom. The calculation puts the density of states at the Fermi level at 2.21 states/eV/cell. The value obtained for the formation energy is -0.034 eV per atom.

A plane-wave DFT calculation with PBE was carried out for a geometry-optimized K2CdAg2Hg5 structure.

Cell: 11.5992 11.5992 4.1101 Å, 90.00 90.00 90.00°
Closest atoms and distances in Å follow each position.
Space group P4/mbm (No. 127)
One atom of each set of equivalent atoms:
K 0.1761 0.3239 0.0000  3 Ag 3.28-3.53, 2 Hg 3.55
Cd 0.0000 0.0000 0.0000  8 Hg 3.17
Ag 0.1241 0.6241 0.0000  6 Hg 2.89-3.00
Hg 0.0000 0.5000 0.5000  4 Ag 2.89
Hg 0.0596 0.8012 0.5000  2 Ag 3.00, 2 Cd 3.17

Output
The calculation puts the calculated density at 8.46 g cm⁻³. The calculation puts the density of states at the Fermi level at 9.91 states/eV/cell. The value obtained for the formation energy is -0.084 eV per atom.

A plane-wave DFT calculation with PBE was carried out for a geometry-optimized KCdAgHg2 structure.

Cell: 5.7183 5.7183 5.4263 Å, 90.00 90.00 90.00°
Closest atoms and distances in Å follow each position.
Space group P4/mmm (No. 123)
One atom of each set of equivalent atoms:
K 0.0000 0.0000 0.0000  8 Hg 3.94, 4 Ag 4.04
Cd 0.5000 0.5000 0.5000  2 Ag 2.71, 4 Hg 2.86
Ag 0.5000 0.5000 0.0000  2 Cd 2.71
Hg 0.0000 0.5000 0.5000  2 Cd 2.86

Output
The calculation puts the calculated density at 6.18 g cm⁻³. The polymorph energy (0 for the lowest one) comes out at 58 meV/atom. The calculation puts the density of states at the Fermi level at 2.06 states/eV/cell. The value obtained for the formation energy is 0.023 eV per atom.

A plane-wave DFT calculation with PBE was carried out for a geometry-optimized LaCd8AgHg2 structure.

Cell: 8.6361 5.6582 12.1459 Å, 90.00 101.50 90.00°
Closest atoms and distances in Å follow each position.
Space group C2/m (No. 12)
One atom of each set of equivalent atoms:
La 0.0000 0.0000 0.0000  6 Hg 3.14-3.40, 2 Cd 3.27
Cd 0.0480 0.2466 0.3021  4 Cd 2.79-3.09, 1 Ag 2.88, 1 Hg 2.98
Cd 0.1733 0.5000 0.5407  3 Ag 2.96-3.19, 7 Cd 2.96-3.29
Cd 0.2383 0.5000 0.1607  4 Cd 2.97-3.20, 4 Hg 3.15-3.17, 1 La 3.27
Ag 0.0000 0.0000 0.5000  10 Cd 2.88-3.19
Hg 0.1368 0.5000 0.8969  6 Cd 2.98-3.17, 1 La 3.14

Output
The calculation puts the calculated density at 8.84 g cm⁻³. The calculation puts the density of states at the Fermi level at 9.74 states/eV/cell. The value obtained for the formation energy is -0.107 eV per atom.